1.
DFT (PBE-GGA) results for crystalline TaGa2Ni9 at its relaxed geometry.

Computed properties:
- Raw total energy: -74.1 eV per cell
- ΔH_f (0 K): -347 meV per atom
- SG: P4/mmm, No. 123
- M_tot: 0.006 Bohr magnetons per cell

a = 3.6244 Å, b = 3.6244 Å, c = 10.7517 Å
α = 90.00°, β = 90.00°, γ = 90.00°
With the nearest neighbours (Å) after each atom.
Sites, in units of the cell vectors:
Ta1 0.0000 0.0000 0.0000  12 Ni 2.56-2.57
Ni1 0.5000 0.0000 0.1697  8 Ni 2.54-2.57, 2 Ga 2.56, 2 Ta 2.57
Ni2 0.0000 0.5000 0.8303  8 Ni 2.54-2.57, 2 Ga 2.56, 2 Ta 2.57
Ni3 0.5000 0.0000 0.5000  4 Ga 2.51, 8 Ni 2.53-2.56
Ga1 0.0000 0.0000 0.6618  12 Ni 2.51-2.56
Ni4 0.0000 0.5000 0.1697  8 Ni 2.54-2.57, 2 Ga 2.56, 2 Ta 2.57
Ni5 0.0000 0.5000 0.5000  4 Ga 2.51, 8 Ni 2.53-2.56
Ni6 0.5000 0.0000 0.8303  8 Ni 2.54-2.57, 2 Ga 2.56, 2 Ta 2.57
Ni7 0.5000 0.5000 0.0000  4 Ta 2.56, 8 Ni 2.57
Ni8 0.5000 0.5000 0.6646  8 Ni 2.53-2.54, 4 Ga 2.56
Ga2 0.0000 0.0000 0.3382  12 Ni 2.51-2.56
Ni9 0.5000 0.5000 0.3354  8 Ni 2.53-2.54, 4 Ga 2.56


2.
DFT (PBE-GGA) results for crystalline Tm5Os2Au2 at its relaxed geometry.

Computed properties:
- Raw total energy: -112.9 eV per cell
- ΔH_f (0 K): -562 meV per atom
- SG: Cmce, No. 64
- M_tot: 0.000 Bohr magnetons per cell

a = 7.3084 Å, b = 7.4150 Å, c = 8.5189 Å
α = 90.00°, β = 64.60°, γ = 90.00°
With the nearest neighbours (Å) after each atom.
Sites, in units of the cell vectors:
Tm1 0.8063 0.8225 0.7416  3 Os 2.90-3.00, 3 Au 2.99-3.06
Au1 0.2126 0.0000 0.5747  7 Tm 2.99-3.27
Os1 0.1189 0.3795 0.0000  1 Os 2.49
Au2 0.7126 0.5000 0.5747  7 Tm 2.99-3.27
Os2 0.6189 0.1205 0.0000  1 Os 2.49
Tm2 0.0000 0.0000 0.0000  4 Os 2.92-2.95, 2 Au 3.27
Au3 0.2874 0.5000 0.4253  7 Tm 2.99-3.27
Tm3 0.0479 0.6775 0.2584  3 Os 2.90-3.00, 3 Au 2.99-3.06
Tm4 0.5000 0.5000 0.0000  4 Os 2.92-2.95, 2 Au 3.27
Tm5 0.5479 0.8225 0.2584  3 Os 2.90-3.00, 3 Au 2.99-3.06
Os3 0.3811 0.8795 0.0000  1 Os 2.49
Tm6 0.9521 0.3225 0.7416  3 Os 2.90-3.00, 3 Au 2.99-3.06
Tm7 0.3063 0.6775 0.7416  3 Os 2.90-3.00, 3 Au 2.99-3.06
Au4 0.7874 0.0000 0.4253  7 Tm 2.99-3.27
Tm8 0.6937 0.3225 0.2584  3 Os 2.90-3.00, 3 Au 2.99-3.06
Tm9 0.1937 0.1775 0.2584  3 Os 2.90-3.00, 3 Au 2.99-3.06
Tm10 0.4521 0.1775 0.7416  3 Os 2.90-3.00, 3 Au 2.99-3.06
Os4 0.8811 0.6205 0.0000  1 Os 2.49


3.
DFT (PBE-GGA) results for crystalline LaY3Zn2 at its relaxed geometry.

Computed properties:
- Raw total energy: -28.3 eV per cell
- ΔH_f (0 K): -236 meV per atom
- SG: P4/mmm, No. 123
- M_tot: 0.000 Bohr magnetons per cell

a = 3.5934 Å, b = 3.5934 Å, c = 12.5095 Å
α = 90.00°, β = 90.00°, γ = 90.00°
With the nearest neighbours (Å) after each atom.
Sites, in units of the cell vectors:
La1 0.5000 0.5000 0.5000  4 La 3.59, 8 Y 3.72
Zn1 0.5000 0.5000 0.1417  8 Y 3.09-3.10
Y1 0.0000 0.0000 0.2828  4 Zn 3.09
Y2 0.0000 0.0000 0.0000  8 Zn 3.10
Y3 0.0000 0.0000 0.7172  4 Zn 3.09
Zn2 0.5000 0.5000 0.8583  8 Y 3.09-3.10


4.
DFT (PBE-GGA) results for crystalline Pm2ReO7 at its relaxed geometry.

Computed properties:
- Raw total energy: -159.9 eV per cell
- SG: P-1, No. 2
- Raw formation energy: -225 kJ/mol of atoms
- M_tot: 1.920 Bohr magnetons per cell

a = 7.7256 Å, b = 7.6360 Å, c = 5.8831 Å
α = 86.52°, β = 68.75°, γ = 58.37°
With the nearest neighbours (Å) after each atom.
Sites, in units of the cell vectors:
Pm1 0.4995 0.7586 0.5614  8 O 2.37-2.59
O1 0.2769 0.8091 0.0094  1 Re 1.86
O2 0.8974 0.9541 0.3755  1 Re 1.99, 1 O 2.12
Pm2 0.2081 0.1247 0.1755  6 O 2.31-2.46
Re1 0.8506 0.3297 0.8042  6 O 1.82-1.99
Pm3 0.5005 0.2414 0.4386  8 O 2.37-2.59
O3 0.3043 0.6320 0.4051  1 Re 1.92
O4 0.5370 0.9553 0.2405  4 Pm 2.34-2.38
O5 0.8931 0.6788 0.4338  1 Re 1.94, 1 O 2.12
O6 0.0845 0.6490 0.9347  1 Re 1.82
O7 0.7231 0.1909 0.9906  1 Re 1.86
Pm4 0.7919 0.8753 0.8245  6 O 2.31-2.46
O8 0.1026 0.0459 0.6245  1 Re 1.99, 1 O 2.12
O9 0.6977 0.6166 0.8503  1 Re 1.84
O10 0.6957 0.3680 0.5949  1 Re 1.92
O11 0.1069 0.3212 0.5662  1 Re 1.94, 1 O 2.12
Re2 0.1494 0.6703 0.1958  6 O 1.82-1.99
O12 0.3023 0.3834 0.1497  1 Re 1.84
O13 0.9155 0.3510 0.0653  1 Re 1.82
O14 0.4630 0.0447 0.7595  4 Pm 2.34-2.38


Question: M_tot of number 4 (Pm2ReO7)?
Answer: 1.920 Bohr magnetons per cell